# 1
{"formula": "SrLa2C", "functional": "PBE", "state": "optimized geometry", "sg": "C2/m, No. 12", "ef_ev_per_atom": -0.031, "cell": [[3.333, -1.923, 0.000], [3.333, 1.923, 0.000], [-0.057, 0.000, 10.448]], "species": ["Sr", "La", "La", "C"], "frac_coords": [[0.000, 0.000, 0.000], [0.332, 0.332, 0.364], [0.668, 0.668, 0.636], [0.000, 0.000, 0.500]]}

***

# 2
{"formula": "SrLa3C", "functional": "PBE", "state": "optimized geometry", "sg": "Pm-3m, No. 221", "ef_ev_per_atom": 2.186, "cell": [[5.726, 0.000, 0.000], [0.000, 5.726, 0.000], [0.000, 0.000, 5.726]], "species": ["Sr", "La", "La", "La", "C"], "frac_coords": [[0.000, 0.000, 0.000], [0.000, 0.000, 0.500], [0.000, 0.500, 0.000], [0.500, 0.000, 0.000], [0.500, 0.500, 0.500]]}

***

# 3
{"formula": "SrLaC2", "functional": "PBE", "state": "optimized geometry", "sg": "Fm-3m, No. 225", "ef_ev_per_atom": 0.996, "cell": [[0.000, 3.307, 3.307], [3.307, 0.000, 3.307], [3.307, 3.307, 0.000]], "species": ["Sr", "La", "C", "C"], "frac_coords": [[0.000, 0.000, 0.000], [0.500, 0.500, 0.500], [0.250, 0.250, 0.250], [0.750, 0.750, 0.750]]}